# PBE NaInPdAu, optimized geometry
data_NaInPdAu
_chemical_formula_sum 'Na4 In4 Pd4 Au4'
_space_group_name_H-M_alt 'F -4 3 m'
_space_group_IT_number 216
_space_group_name_Hall 'F -4 2 3'
_cell_length_a 6.705
_cell_length_b 6.705
_cell_length_c 6.705
_cell_angle_alpha 90.00
_cell_angle_beta 90.00
_cell_angle_gamma 90.00
loop_
_atom_site_label
_atom_site_type_symbol
_atom_site_fract_x
_atom_site_fract_y
_atom_site_fract_z
Na1 Na 0.000 0.000 0.000
In1 In 0.000 0.000 0.500
Pd1 Pd 0.250 0.250 0.750
Au1 Au 0.250 0.250 0.250
# - ΔE to the lowest computed polymorph (meV per atom) = 0.0
# - V (Å³ per cell) = 301
# - raw total energy (eV per atom) = -3.43
# - formation energy (eV/atom) = -0.300